[1]
## CsLiCa2 (PBE)

Data for a geometry-optimized CsLiCa2 structure.

calculated formation energy: 0.161 eV per atom

Geometry as CIF:
```
data_CsLiCa2
_cell_length_a 4.1218
_cell_length_b 4.1218
_cell_length_c 11.1275
_cell_angle_alpha 90.00
_cell_angle_beta 90.00
_cell_angle_gamma 90.00
_space_group_name_H-M_alt 'P 4/m m m'
_space_group_IT_number 123
_space_group_name_Hall '-P 4 2'
loop_
_atom_site_label
_atom_site_type_symbol
_atom_site_fract_x
_atom_site_fract_y
_atom_site_fract_z
Cs1 Cs 0.0000 0.0000 0.0000
Li1 Li 0.0000 0.0000 0.5000
Ca1 Ca 0.5000 0.5000 0.3323
```

***

[2]
## CsLiCa2 (PBE)

Data for a geometry-optimized CsLiCa2 structure.

calculated formation energy: 0.515 eV per atom

Geometry as CIF:
```
data_CsLiCa2
_cell_length_a 7.7682
_cell_length_b 7.7682
_cell_length_c 18.1846
_cell_angle_alpha 90.00
_cell_angle_beta 90.00
_cell_angle_gamma 90.00
_space_group_name_H-M_alt 'I 41/a m d'
_space_group_IT_number 141
loop_
_space_group_symop_operation_xyz
'x,y,z'
'-x,-y,-z'
'-y+1/4,x+3/4,z+1/4'
'y+1/4,-x+3/4,-z+1/4'
'-x+1/2,-y,z+1/2'
'x+1/2,y,-z+1/2'
'y+1/4,-x+1/4,z+3/4'
'-y+1/4,x+1/4,-z+3/4'
'x,-y,-z'
'-x,y,z'
'-y+1/4,-x+1/4,-z+3/4'
'y+1/4,x+1/4,z+3/4'
'-x+1/2,y,-z+1/2'
'x+1/2,-y,z+1/2'
'y+1/4,x+3/4,-z+1/4'
'-y+1/4,-x+3/4,z+1/4'
'x+1/2,y+1/2,z+1/2'
'-x+1/2,-y+1/2,-z+1/2'
'-y+3/4,x+1/4,z+3/4'
'y+3/4,-x+1/4,-z+3/4'
'-x,-y+1/2,z'
'x,y+1/2,-z'
'y+3/4,-x+3/4,z+1/4'
'-y+3/4,x+3/4,-z+1/4'
'x+1/2,-y+1/2,-z+1/2'
'-x+1/2,y+1/2,z+1/2'
'-y+3/4,-x+3/4,-z+1/4'
'y+3/4,x+3/4,z+1/4'
'-x,y+1/2,-z'
'x,-y+1/2,z'
'y+3/4,x+1/4,-z+3/4'
'-y+3/4,-x+1/4,z+3/4'
loop_
_atom_site_label
_atom_site_type_symbol
_atom_site_fract_x
_atom_site_fract_y
_atom_site_fract_z
Cs1 Cs 0.0000 0.2500 0.3750
Li1 Li 0.0000 0.2500 0.8750
Ca1 Ca 0.0000 0.0000 0.0000
```

***

[3]
## CsNa2LiCa (PBE)

Data for a geometry-optimized CsNa2LiCa structure.

calculated formation energy: 0.178 eV per atom

Geometry as CIF:
```
data_CsNa2LiCa
_cell_length_a 6.2324
_cell_length_b 6.2324
_cell_length_c 6.2836
_cell_angle_alpha 90.00
_cell_angle_beta 90.00
_cell_angle_gamma 90.00
_space_group_name_H-M_alt 'P 4/m m m'
_space_group_IT_number 123
_space_group_name_Hall '-P 4 2'
loop_
_atom_site_label
_atom_site_type_symbol
_atom_site_fract_x
_atom_site_fract_y
_atom_site_fract_z
Cs1 Cs 0.0000 0.0000 0.0000
Na1 Na 0.0000 0.5000 0.5000
Li1 Li 0.5000 0.5000 0.5000
Ca1 Ca 0.5000 0.5000 0.0000
```

***

[4]
## Cs2LiCaP (PBE)

Data for a geometry-optimized Cs2LiCaP structure.

calculated formation energy: 0.158 eV per atom

Geometry as CIF:
```
data_Cs2LiCaP
_cell_length_a 7.7258
_cell_length_b 7.7258
_cell_length_c 5.1931
_cell_angle_alpha 90.00
_cell_angle_beta 90.00
_cell_angle_gamma 90.00
_space_group_name_H-M_alt 'P 4/m m m'
_space_group_IT_number 123
_space_group_name_Hall '-P 4 2'
loop_
_atom_site_label
_atom_site_type_symbol
_atom_site_fract_x
_atom_site_fract_y
_atom_site_fract_z
Cs1 Cs 0.0000 0.5000 0.0000
Li1 Li 0.0000 0.0000 0.5000
Ca1 Ca 0.5000 0.5000 0.0000
P1 P 0.5000 0.5000 0.5000
```

***

What is the calculated formation energy in the second record? 0.515 eV per atom

***

Please write out number 1 again, unchanged.
## CsLiCa2 (PBE)

Data for a geometry-optimized CsLiCa2 structure.

calculated formation energy: 0.161 eV per atom

Geometry as CIF:
```
data_CsLiCa2
_cell_length_a 4.1218
_cell_length_b 4.1218
_cell_length_c 11.1275
_cell_angle_alpha 90.00
_cell_angle_beta 90.00
_cell_angle_gamma 90.00
_space_group_name_H-M_alt 'P 4/m m m'
_space_group_IT_number 123
_space_group_name_Hall '-P 4 2'
loop_
_atom_site_label
_atom_site_type_symbol
_atom_site_fract_x
_atom_site_fract_y
_atom_site_fract_z
Cs1 Cs 0.0000 0.0000 0.0000
Li1 Li 0.0000 0.0000 0.5000
Ca1 Ca 0.5000 0.5000 0.3323
```

***

Among the records above, which one has the lowest calculated formation energy? Cs2LiCaP

***

Which of these has the highest calculated formation energy? number 2